First-principles (GGA+U) data for an optimized crystal structure of LiCoSO, as listed in OQMD.

POSCAR file:
```
LiCoSO
1.0
-0.151 3.568 -4.675
-6.068 -0.728 -0.359
-0.636 3.227 4.200
Co Li O S
4 4 4 4
Cartesian
-3.995 2.173 -1.632
-5.888 3.597 0.374
-2.860 3.894 0.798
-0.967 2.469 -1.209
-4.639 0.016 -0.583
-1.975 4.428 -2.356
-2.216 6.050 -0.252
-4.880 1.639 1.522
-5.497 1.797 -0.374
-2.359 2.498 -2.638
-1.358 4.269 -0.460
-4.497 3.569 1.804
-1.253 3.557 2.334
-5.602 2.510 -3.169
-4.238 4.325 -0.969
-2.617 1.741 0.135
```

Distance to the lowest polymorph of the same formula (meV per atom): 0